1.
Below is a crystal of Mn2Tl2Se relaxed with PBEsol, with properties calculated at the meta-GGA SCAN level.

a b c (Å): 4.016 4.016 13.542
angles (deg): 90.00 90.00 90.00
Space group I4/mmm (No. 139)
Asymmetric unit:
Mn1 0.000 0.000 0.092 (multiplicity 4)
Tl1 0.000 0.500 0.250 (multiplicity 4)
Se1 0.000 0.000 0.500 (multiplicity 2)

Results
**Energy relative to the elements, uncorrected**: 0.266 eV/atom
**DOS(E_F)**: 7.59 states/eV per cell
**Density**: 9.09 Mg/m³
**Total magnetic moment**: 16.4 μB per cell
**Final energy**: -40.00 eV/atom

2.
Below is a crystal of ZrZn relaxed with PBEsol, with properties calculated at the meta-GGA SCAN level.

a b c (Å): 9.446 8.310 5.490
angles (deg): 90.00 90.00 90.00
Space group Pbcm (No. 57)
Asymmetric unit:
Zr1 0.119 0.250 0.000 (multiplicity 4)
Zr2 0.184 0.633 0.250 (multiplicity 4)
Zr3 0.374 0.041 0.250 (multiplicity 4)
Zn1 0.085 0.551 0.750 (multiplicity 4)
Zn2 0.367 0.118 0.750 (multiplicity 4)
Zn3 0.427 0.750 0.000 (multiplicity 4)

Results
**DOS(E_F)**: 21.89 states/eV per cell
**Density**: 7.24 Mg/m³
**Total magnetic moment**: 0.0 μB per cell
**Calculated formation energy**: -0.32 eV/atom
**Final energy**: -22.42 eV/atom

3.
Below is a crystal of BeIrPb2 relaxed with PBEsol, with properties calculated at the meta-GGA SCAN level.

a b c (Å): 4.640 4.640 3.568
angles (deg): 90.00 90.00 90.00
Space group P4/mmm (No. 123)
Asymmetric unit:
Be1 0.000 0.000 0.000 (multiplicity 1)
Ir1 0.500 0.500 0.000 (multiplicity 1)
Pb1 0.000 0.500 0.500 (multiplicity 2)

Results
**DOS(E_F)**: 2.27 states/eV per cell
**Density**: 13.31 Mg/m³
**Total magnetic moment**: 0.0 μB per cell
**Calculated formation energy**: 0.76 eV/atom
**Final energy**: -55.99 eV/atom

4.
Below is a crystal of Sr2HgSb relaxed with PBEsol, with properties calculated at the meta-GGA SCAN level.

a b c (Å): 5.362 5.362 4.299
angles (deg): 90.00 90.00 90.00
Space group P4/mmm (No. 123)
Asymmetric unit:
Sr1 0.000 0.500 0.000 (multiplicity 2)
Hg1 0.000 0.000 0.500 (multiplicity 1)
Sb1 0.500 0.500 0.500 (multiplicity 1)

Results
**Energy relative to the elements, uncorrected**: -0.922 eV/atom
**DOS(E_F)**: 0.88 states/eV per cell
**Density**: 6.68 Mg/m³
**Total magnetic moment**: 0.0 μB per cell
**ΔE to the lowest computed polymorph**: 0.940 kcal/mol of atoms
**Final energy**: -38.42 eV/atom

5.
Below is a crystal of ErAsSe relaxed with PBEsol, with properties calculated at the meta-GGA SCAN level.

a b c (Å): 17.109 3.829 3.853
angles (deg): 90.00 90.00 90.00
Space group Pnma (No. 62)
Asymmetric unit:
Er1 0.139 0.250 0.235 (multiplicity 4)
As1 0.001 0.250 0.721 (multiplicity 4)
Se1 0.188 0.750 0.737 (multiplicity 4)

Results
**Energy relative to the elements, uncorrected**: -1.593 eV/atom
**DOS(E_F)**: 0.24 states/eV per cell
**Density**: 8.45 Mg/m³
**Total magnetic moment**: 0.0 μB per cell
**Final energy**: -31.80 eV/atom

6.
Below is a crystal of MgCuWC2 relaxed with PBEsol, with properties calculated at the meta-GGA SCAN level.

a b c (Å): 3.794 3.794 4.286
angles (deg): 90.00 90.00 90.00
Space group P4/mmm (No. 123)
Asymmetric unit:
Mg1 0.000 0.000 0.000 (multiplicity 1)
Cu1 0.000 0.000 0.500 (multiplicity 1)
W1 0.500 0.500 0.000 (multiplicity 1)
C1 0.000 0.500 0.500 (multiplicity 2)

Results
**DOS(E_F)**: 3.54 states/eV per cell
**Density**: 7.96 Mg/m³
**Total magnetic moment**: 0.0 μB per cell
**Calculated formation energy**: 2.51 eV/atom
**Final energy**: -19.51 eV/atom

7.
Below is a crystal of Mn3Cu2NiP6O24 relaxed with PBEsol, with properties calculated at the meta-GGA SCAN level.

a b c (Å): 8.3498 8.3498 20.3095
angles (deg): 90.00 90.00 120.00
Space group R3 (No. 146, hexagonal axes)
Asymmetric unit:
Mn1 0.0000 0.0000 0.0000 (multiplicity 3)
Mn2 0.0000 0.0000 0.2194 (multiplicity 3)
Mn3 0.0000 0.0000 0.7187 (multiplicity 3)
Cu1 0.0000 0.0000 0.3601 (multiplicity 3)
Cu2 0.0000 0.0000 0.8603 (multiplicity 3)
Ni1 0.0000 0.0000 0.4987 (multiplicity 3)
P1 0.9997 0.2875 0.6083 (multiplicity 9)
P2 0.0457 0.6672 0.7758 (multiplicity 9)
O1 0.9996 0.1729 0.9393 (multiplicity 9)
O2 0.0001 0.1882 0.6717 (multiplicity 9)
O3 0.0127 0.8352 0.7814 (multiplicity 9)
O4 0.0204 0.2067 0.5448 (multiplicity 9)
O5 0.0385 0.1880 0.2815 (multiplicity 9)
O6 0.1497 0.6786 0.8393 (multiplicity 9)
O7 0.1543 0.6826 0.7134 (multiplicity 9)
O8 0.1804 0.7065 0.1013 (multiplicity 9)

Results
**Energy relative to the elements, uncorrected**: -2.056 eV/atom
**DOS(E_F)**: 58.66 states/eV per cell
**Density**: 3.74 Mg/m³
**Total magnetic moment**: 37.1 μB per cell
**Final energy**: -10.76 eV/atom

8.
Below is a crystal of HfTc3Pb relaxed with PBEsol, with properties calculated at the meta-GGA SCAN level.

a b c (Å): 4.812 4.812 4.812
angles (deg): 90.00 90.00 90.00
Space group Pm-3m (No. 221)
Asymmetric unit:
Hf1 0.000 0.000 0.000 (multiplicity 1)
Tc1 0.000 0.500 0.500 (multiplicity 3)
Pb1 0.500 0.500 0.500 (multiplicity 1)

Results
**DOS(E_F)**: 5.04 states/eV per cell
**Density**: 10.13 Mg/m³
**Total magnetic moment**: 2.4 μB per cell
**Calculated formation energy**: 2.17 eV/atom
**Final energy**: -46.55 eV/atom

9.
Below is a crystal of Fe2TcP relaxed with PBEsol, with properties calculated at the meta-GGA SCAN level.

a b c (Å): 2.883 2.883 5.544
angles (deg): 90.00 90.00 90.00
Space group P4mm (No. 99)
Asymmetric unit:
Fe1 0.000 0.000 0.000 (multiplicity 1)
Fe2 0.500 0.500 0.235 (multiplicity 1)
Tc1 0.500 0.500 0.711 (multiplicity 1)
P1 0.000 0.000 0.459 (multiplicity 1)

Results
**DOS(E_F)**: 2.41 states/eV per cell
**Density**: 8.67 Mg/m³
**Total magnetic moment**: 4.6 μB per cell
**Calculated formation energy**: -0.17 eV/atom
**Final energy**: -20.60 eV/atom

10.
Below is a crystal of Sr2CdCu relaxed with PBEsol, with properties calculated at the meta-GGA SCAN level.

a b c (Å): 4.603 4.516 11.761
angles (deg): 90.00 90.00 90.00
Space group Amm2 (No. 38)
Asymmetric unit:
Sr1 0.000 0.000 0.000 (multiplicity 2)
Sr2 0.500 0.000 0.286 (multiplicity 2)
Cd1 0.000 0.000 0.704 (multiplicity 2)
Cu1 0.500 0.000 0.583 (multiplicity 2)

Results
**DOS(E_F)**: 5.03 states/eV per cell
**Density**: 4.77 Mg/m³
**Total magnetic moment**: 0.0 μB per cell
**Calculated formation energy**: -0.19 eV/atom
**Final energy**: -22.73 eV/atom

11.
Below is a crystal of LiTlHgH2 relaxed with PBEsol, with properties calculated at the meta-GGA SCAN level.

a b c (Å): 3.782 3.782 6.132
angles (deg): 90.00 90.00 90.00
Space group P4/mmm (No. 123)
Asymmetric unit:
Li1 0.000 0.000 0.000 (multiplicity 1)
Tl1 0.500 0.500 0.000 (multiplicity 1)
Hg1 0.500 0.500 0.500 (multiplicity 1)
H1 0.000 0.500 0.500 (multiplicity 2)

Results
**DOS(E_F)**: 1.41 states/eV per cell
**Density**: 7.84 Mg/m³
**Total magnetic moment**: 0.0 μB per cell
**Final energy**: -29.69 eV/atom

12.
Below is a crystal of MnP2W relaxed with PBEsol, with properties calculated at the meta-GGA SCAN level.

a b c (Å): 3.682 3.682 7.411
angles (deg): 90.00 90.00 90.00
Space group I-4m2 (No. 119)
Asymmetric unit:
Mn1 0.000 0.000 0.000 (multiplicity 2)
P1 0.000 0.000 0.500 (multiplicity 2)
P2 0.000 0.500 0.250 (multiplicity 2)
W1 0.000 0.500 0.750 (multiplicity 2)

Results
**DOS(E_F)**: 5.44 states/eV per cell
**Density**: 9.94 Mg/m³
**Total magnetic moment**: 3.6 μB per cell
**Calculated formation energy**: 0.23 eV/atom
**Final energy**: -26.96 eV/atom

Copy entry 4 word for word.
Below is a crystal of Sr2HgSb relaxed with PBEsol, with properties calculated at the meta-GGA SCAN level.

a b c (Å): 5.362 5.362 4.299
angles (deg): 90.00 90.00 90.00
Space group P4/mmm (No. 123)
Asymmetric unit:
Sr1 0.000 0.500 0.000 (multiplicity 2)
Hg1 0.000 0.000 0.500 (multiplicity 1)
Sb1 0.500 0.500 0.500 (multiplicity 1)

Results
**Energy relative to the elements, uncorrected**: -0.922 eV/atom
**DOS(E_F)**: 0.88 states/eV per cell
**Density**: 6.68 Mg/m³
**Total magnetic moment**: 0.0 μB per cell
**ΔE to the lowest computed polymorph**: 0.940 kcal/mol of atoms
**Final energy**: -38.42 eV/atom

Which value of final energy does entry 1 give? -40.00 eV/atom

Please write out number 5 again, unchanged.
Below is a crystal of ErAsSe relaxed with PBEsol, with properties calculated at the meta-GGA SCAN level.

a b c (Å): 17.109 3.829 3.853
angles (deg): 90.00 90.00 90.00
Space group Pnma (No. 62)
Asymmetric unit:
Er1 0.139 0.250 0.235 (multiplicity 4)
As1 0.001 0.250 0.721 (multiplicity 4)
Se1 0.188 0.750 0.737 (multiplicity 4)

Results
**Energy relative to the elements, uncorrected**: -1.593 eV/atom
**DOS(E_F)**: 0.24 states/eV per cell
**Density**: 8.45 Mg/m³
**Total magnetic moment**: 0.0 μB per cell
**Final energy**: -31.80 eV/atom